No. 1
{
  "formula": "Cr2As6O19",
  "functional": "SCAN",
  "state": "single point on PBEsol structure",
  "cell": [[11.052, 0.000, 0.000], [0.000, 13.136, 0.000], [0.000, 0.000, 5.009]],
  "species": ["Cr", "Cr", "Cr", "Cr", "As", "As", "As", "As", "As", "As", "As", "As", "As", "As", "As", "As", "O", "O", "O", "O", "O", "O", "O", "O", "O", "O", "O", "O", "O", "O", "O", "O", "O", "O", "O", "O", "O", "O", "O", "O", "O", "O", "O", "O", "O", "O", "O", "O", "O", "O", "O", "O", "O", "O"],
  "frac_coords": [[0.000, 0.000, 0.000], [0.000, 0.500, 0.000], [0.500, 0.000, 0.000], [0.500, 0.500, 0.000], [0.106, 0.130, 0.488], [0.106, 0.370, 0.488], [0.250, 0.630, 0.023], [0.250, 0.870, 0.023], [0.394, 0.130, 0.488], [0.394, 0.370, 0.488], [0.606, 0.630, 0.512], [0.606, 0.870, 0.512], [0.750, 0.130, 0.977], [0.750, 0.370, 0.977], [0.894, 0.630, 0.512], [0.894, 0.870, 0.512], [0.015, 0.119, 0.221], [0.015, 0.381, 0.221], [0.081, 0.250, 0.635], [0.116, 0.052, 0.752], [0.116, 0.448, 0.752], [0.126, 0.566, 0.172], [0.126, 0.934, 0.172], [0.250, 0.139, 0.340], [0.250, 0.361, 0.340], [0.250, 0.639, 0.697], [0.250, 0.750, 0.195], [0.250, 0.861, 0.697], [0.374, 0.566, 0.172], [0.374, 0.934, 0.172], [0.384, 0.052, 0.752], [0.384, 0.448, 0.752], [0.419, 0.250, 0.635], [0.485, 0.119, 0.221], [0.485, 0.381, 0.221], [0.515, 0.619, 0.779], [0.515, 0.881, 0.779], [0.581, 0.750, 0.365], [0.616, 0.552, 0.248], [0.616, 0.948, 0.248], [0.626, 0.066, 0.828], [0.626, 0.434, 0.828], [0.750, 0.139, 0.303], [0.750, 0.250, 0.805], [0.750, 0.361, 0.303], [0.750, 0.639, 0.660], [0.750, 0.861, 0.660], [0.874, 0.066, 0.828], [0.874, 0.434, 0.828], [0.884, 0.552, 0.248], [0.884, 0.948, 0.248], [0.919, 0.750, 0.365], [0.985, 0.619, 0.779], [0.985, 0.881, 0.779]],
  "e_form_raw_ev_per_fu": -36.43,
  "m_tot_mub_per_atom": 0.15,
  "energy_ev_per_atom": -11.58,
  "volume_a3_per_atom": 13.5
}

No. 2
{
  "formula": "LiSc2Hg2",
  "functional": "SCAN",
  "state": "single point on PBEsol structure",
  "cell": [[7.807, 0.000, 0.000], [0.000, 7.807, 0.000], [0.000, 0.000, 3.536]],
  "species": ["Li", "Li", "Sc", "Sc", "Sc", "Sc", "Hg", "Hg", "Hg", "Hg"],
  "frac_coords": [[0.000, 0.000, 0.000], [0.500, 0.500, 0.000], [0.159, 0.341, 0.500], [0.341, 0.841, 0.500], [0.659, 0.159, 0.500], [0.841, 0.659, 0.500], [0.140, 0.640, 0.000], [0.360, 0.140, 0.000], [0.640, 0.860, 0.000], [0.860, 0.360, 0.000]],
  "m_tot_mub_per_atom": 0.00,
  "energy_ev_per_atom": -33.98,
  "volume_a3_per_atom": 21.6
}

No. 3
{
  "formula": "TlCd5",
  "functional": "SCAN",
  "state": "single point on PBEsol structure",
  "cell": [[2.221, -6.696, 0.000], [2.221, 6.696, 0.000], [0.000, 0.000, 4.466]],
  "species": ["Tl", "Cd", "Cd", "Cd", "Cd", "Cd"],
  "frac_coords": [[0.000, 0.000, 0.000], [0.171, 0.829, 0.500], [0.328, 0.672, 0.000], [0.500, 0.500, 0.500], [0.672, 0.328, 0.000], [0.829, 0.171, 0.500]],
  "m_tot_mub_per_atom": 0.00,
  "energy_ev_per_atom": -37.35,
  "volume_a3_per_atom": 22.1,
  "de_polymorph_ev_per_atom": 0.018
}

No. 4
{
  "formula": "La2CrPS",
  "functional": "SCAN",
  "state": "single point on PBEsol structure",
  "cell": [[5.411, 0.000, 0.000], [0.000, 5.411, 0.000], [0.000, 0.000, 4.207]],
  "species": ["La", "La", "Cr", "P", "S"],
  "frac_coords": [[0.000, 0.500, 0.000], [0.500, 0.000, 0.000], [0.000, 0.000, 0.500], [0.500, 0.500, 0.500], [0.000, 0.000, 0.000]],
  "e_form_raw_ev_per_fu": -4.07,
  "m_tot_mub_per_atom": 0.76,
  "energy_ev_per_atom": -25.74,
  "volume_a3_per_atom": 24.6
}

No. 5
{
  "formula": "RbBaCd2",
  "functional": "SCAN",
  "state": "single point on PBEsol structure",
  "cell": [[0.000, 4.194, 4.194], [4.194, 0.000, 4.194], [4.194, 4.194, 0.000]],
  "species": ["Rb", "Ba", "Cd", "Cd"],
  "frac_coords": [[0.000, 0.000, 0.000], [0.500, 0.500, 0.500], [0.250, 0.250, 0.250], [0.750, 0.750, 0.750]],
  "m_tot_mub_per_atom": 0.00,
  "energy_ev_per_atom": -30.39,
  "volume_a3_per_atom": 36.9
}

No. 6
{
  "formula": "LiAgSbSe2",
  "functional": "SCAN",
  "state": "single point on PBEsol structure",
  "cell": [[5.377, 0.000, 0.000], [0.000, 5.377, 0.000], [0.000, 0.000, 4.890]],
  "species": ["Li", "Ag", "Sb", "Se", "Se"],
  "frac_coords": [[0.000, 0.000, 0.000], [0.500, 0.500, 0.000], [0.000, 0.000, 0.500], [0.000, 0.500, 0.500], [0.500, 0.000, 0.500]],
  "e_form_raw_ev_per_fu": 1.60,
  "m_tot_mub_per_atom": 0.00,
  "energy_ev_per_atom": -21.91,
  "volume_a3_per_atom": 28.3
}

No. 7
{
  "formula": "ScTiCdSb2",
  "functional": "SCAN",
  "state": "single point on PBEsol structure",
  "cell": [[5.367, 0.000, 0.000], [0.000, 5.367, 0.000], [0.000, 0.000, 4.957]],
  "species": ["Sc", "Ti", "Cd", "Sb", "Sb"],
  "frac_coords": [[0.000, 0.000, 0.000], [0.500, 0.500, 0.000], [0.500, 0.500, 0.500], [0.000, 0.500, 0.500], [0.500, 0.000, 0.500]],
  "e_form_raw_ev_per_fu": 3.66,
  "m_tot_mub_per_atom": 0.63,
  "energy_ev_per_atom": -26.31,
  "volume_a3_per_atom": 28.6
}

No. 8
{
  "formula": "BaInAs2",
  "functional": "SCAN",
  "state": "single point on PBEsol structure",
  "cell": [[0.000, 3.740, 3.740], [3.740, 0.000, 3.740], [3.740, 3.740, 0.000]],
  "species": ["Ba", "In", "As", "As"],
  "frac_coords": [[0.000, 0.000, 0.000], [0.750, 0.750, 0.750], [0.250, 0.250, 0.250], [0.500, 0.500, 0.500]],
  "m_tot_mub_per_atom": 0.00,
  "energy_ev_per_atom": -28.45,
  "volume_a3_per_atom": 26.2
}

No. 9
{
  "formula": "Rb3CrTc",
  "functional": "SCAN",
  "state": "single point on PBEsol structure",
  "cell": [[6.654, 0.000, 0.000], [0.000, 6.654, 0.000], [0.000, 0.000, 6.654]],
  "species": ["Rb", "Rb", "Rb", "Cr", "Tc"],
  "frac_coords": [[0.000, 0.000, 0.500], [0.000, 0.500, 0.000], [0.500, 0.000, 0.000], [0.000, 0.000, 0.000], [0.500, 0.500, 0.500]],
  "m_tot_mub_per_atom": 2.07,
  "energy_ev_per_atom": -21.57,
  "volume_a3_per_atom": 58.9
}

No. 10
{
  "formula": "BaSrCd4",
  "functional": "SCAN",
  "state": "single point on PBEsol structure",
  "cell": [[0.000, 4.360, 4.360], [4.360, 0.000, 4.360], [4.360, 4.360, 0.000]],
  "species": ["Ba", "Sr", "Cd", "Cd", "Cd", "Cd"],
  "frac_coords": [[0.000, 0.000, 0.000], [0.750, 0.750, 0.750], [0.375, 0.375, 0.375], [0.375, 0.375, 0.875], [0.375, 0.875, 0.375], [0.875, 0.375, 0.375]],
  "m_tot_mub_per_atom": 0.00,
  "energy_ev_per_atom": -30.93,
  "volume_a3_per_atom": 27.6
}

No. 11
{
  "formula": "Cd2H2SO6",
  "functional": "SCAN",
  "state": "single point on PBEsol structure",
  "cell": [[6.998, 0.000, 0.000], [0.000, 7.491, 0.000], [-5.762, 0.000, 9.895]],
  "species": ["Cd", "Cd", "Cd", "Cd", "Cd", "Cd", "Cd", "Cd", "H", "H", "H", "H", "H", "H", "H", "H", "S", "S", "S", "S", "O", "O", "O", "O", "O", "O", "O", "O", "O", "O", "O", "O", "O", "O", "O", "O", "O", "O", "O", "O", "O", "O", "O", "O"],
  "frac_coords": [[0.152, 0.039, 0.166], [0.152, 0.461, 0.666], [0.326, 0.162, 0.503], [0.326, 0.338, 0.003], [0.674, 0.662, 0.997], [0.674, 0.838, 0.497], [0.848, 0.539, 0.334], [0.848, 0.961, 0.834], [0.080, 0.710, 0.052], [0.080, 0.790, 0.552], [0.240, 0.681, 0.863], [0.240, 0.819, 0.363], [0.760, 0.181, 0.637], [0.760, 0.319, 0.137], [0.920, 0.210, 0.448], [0.920, 0.290, 0.948], [0.309, 0.004, 0.782], [0.309, 0.496, 0.282], [0.691, 0.504, 0.718], [0.691, 0.996, 0.218], [0.029, 0.192, 0.974], [0.029, 0.308, 0.474], [0.162, 0.600, 0.316], [0.162, 0.900, 0.816], [0.238, 0.521, 0.137], [0.238, 0.979, 0.637], [0.300, 0.198, 0.809], [0.300, 0.302, 0.309], [0.322, 0.568, 0.874], [0.322, 0.932, 0.374], [0.460, 0.062, 0.131], [0.460, 0.438, 0.631], [0.540, 0.562, 0.369], [0.540, 0.938, 0.869], [0.678, 0.068, 0.626], [0.678, 0.432, 0.126], [0.700, 0.698, 0.691], [0.700, 0.802, 0.191], [0.762, 0.021, 0.363], [0.762, 0.479, 0.863], [0.838, 0.100, 0.184], [0.838, 0.400, 0.684], [0.971, 0.692, 0.526], [0.971, 0.808, 0.026]],
  "m_tot_mub_per_atom": 0.00,
  "energy_ev_per_atom": -11.86,
  "volume_a3_per_atom": 11.8
}

No. 12
{
  "formula": "Ho2Ti2O7",
  "functional": "SCAN",
  "state": "single point on PBEsol structure",
  "cell": [[0.000, 5.012, 5.012], [5.012, 0.000, 5.012], [5.012, 5.012, 0.000]],
  "species": ["Ho", "Ho", "Ho", "Ho", "Ti", "Ti", "Ti", "Ti", "O", "O", "O", "O", "O", "O", "O", "O", "O", "O", "O", "O", "O", "O"],
  "frac_coords": [[0.000, 0.000, 0.000], [0.000, 0.000, 0.500], [0.000, 0.500, 0.000], [0.500, 0.000, 0.000], [0.000, 0.500, 0.500], [0.500, 0.000, 0.500], [0.500, 0.500, 0.000], [0.500, 0.500, 0.500], [0.125, 0.125, 0.125], [0.168, 0.168, 0.582], [0.168, 0.582, 0.168], [0.168, 0.582, 0.582], [0.418, 0.418, 0.832], [0.418, 0.832, 0.418], [0.418, 0.832, 0.832], [0.582, 0.168, 0.168], [0.582, 0.168, 0.582], [0.582, 0.582, 0.168], [0.832, 0.418, 0.418], [0.832, 0.418, 0.832], [0.832, 0.832, 0.418], [0.875, 0.875, 0.875]],
  "e_form_raw_ev_per_fu": -40.39,
  "m_tot_mub_per_atom": 0.00,
  "energy_ev_per_atom": -19.46,
  "volume_a3_per_atom": 11.4
}

No. 13
{
  "formula": "LiBeW2",
  "functional": "SCAN",
  "state": "single point on PBEsol structure",
  "cell": [[3.107, 0.000, 0.000], [0.000, 3.107, 0.000], [0.000, 0.000, 5.197]],
  "species": ["Li", "Be", "W", "W"],
  "frac_coords": [[0.000, 0.000, 0.000], [0.000, 0.000, 0.500], [0.500, 0.500, 0.267], [0.500, 0.500, 0.733]],
  "m_tot_mub_per_atom": 0.00,
  "energy_ev_per_atom": -35.93,
  "volume_a3_per_atom": 12.5
}

No. 14
{
  "formula": "LiSc3C",
  "functional": "SCAN",
  "state": "single point on PBEsol structure",
  "cell": [[4.546, 0.000, 0.000], [0.000, 4.546, 0.000], [0.000, 0.000, 4.546]],
  "species": ["Li", "Sc", "Sc", "Sc", "C"],
  "frac_coords": [[0.000, 0.000, 0.000], [0.000, 0.500, 0.500], [0.500, 0.000, 0.500], [0.500, 0.500, 0.000], [0.500, 0.500, 0.500]],
  "m_tot_mub_per_atom": 0.00,
  "energy_ev_per_atom": -11.28,
  "volume_a3_per_atom": 18.8
}

No. 15
{
  "formula": "CaBr2",
  "functional": "SCAN",
  "state": "single point on PBEsol structure",
  "cell": [[0.000, 4.509, 4.509], [4.509, 0.000, 4.509], [4.509, 4.509, 0.000]],
  "species": ["Ca", "Ca", "Br", "Br", "Br", "Br"],
  "frac_coords": [[0.125, 0.125, 0.125], [0.875, 0.875, 0.875], [0.000, 0.500, 0.500], [0.500, 0.000, 0.500], [0.500, 0.500, 0.000], [0.500, 0.500, 0.500]],
  "e_form_raw_ev_per_fu": -1.76,
  "m_tot_mub_per_atom": 0.00,
  "energy_ev_per_atom": -16.78,
  "volume_a3_per_atom": 30.6
}

No. 16
{
  "formula": "ZnAg2Rh",
  "functional": "SCAN",
  "state": "single point on PBEsol structure",
  "cell": [[0.000, 3.097, 3.097], [3.097, 0.000, 3.097], [3.097, 3.097, 0.000]],
  "species": ["Zn", "Ag", "Ag", "Rh"],
  "frac_coords": [[0.000, 0.000, 0.000], [0.500, 0.500, 0.500], [0.750, 0.750, 0.750], [0.250, 0.250, 0.250]],
  "m_tot_mub_per_atom": 0.00,
  "energy_ev_per_atom": -27.50,
  "volume_a3_per_atom": 14.9
}

No. 17
{
  "formula": "Mg2CrIn3S8",
  "functional": "SCAN",
  "state": "single point on PBEsol structure",
  "cell": [[3.752, 2.166, 6.087], [-3.752, 2.166, 6.087], [0.000, -4.332, 6.087]],
  "species": ["Mg", "Mg", "Cr", "In", "In", "In", "S", "S", "S", "S", "S", "S", "S", "S"],
  "frac_coords": [[0.125, 0.125, 0.125], [0.875, 0.875, 0.875], [0.500, 0.500, 0.500], [0.000, 0.500, 0.500], [0.500, 0.000, 0.500], [0.500, 0.500, 0.000], [0.257, 0.257, 0.257], [0.271, 0.271, 0.722], [0.271, 0.722, 0.271], [0.278, 0.729, 0.729], [0.722, 0.271, 0.271], [0.729, 0.278, 0.729], [0.729, 0.729, 0.278], [0.743, 0.743, 0.743]],
  "e_form_raw_ev_per_fu": -14.71,
  "m_tot_mub_per_atom": 0.21,
  "energy_ev_per_atom": -15.73,
  "volume_a3_per_atom": 21.2
}

No. 18
{
  "formula": "KCa2Au",
  "functional": "SCAN",
  "state": "single point on PBEsol structure",
  "cell": [[5.130, 0.000, 0.000], [0.000, 5.130, 0.000], [0.000, 0.000, 4.664]],
  "species": ["K", "Ca", "Ca", "Au"],
  "frac_coords": [[0.000, 0.000, 0.000], [0.000, 0.500, 0.500], [0.500, 0.000, 0.500], [0.500, 0.500, 0.000]],
  "m_tot_mub_per_atom": 0.13,
  "energy_ev_per_atom": -24.30,
  "volume_a3_per_atom": 30.7,
  "de_polymorph_ev_per_atom": 0.371
}

No. 19
{
  "formula": "MnFe2W",
  "functional": "SCAN",
  "state": "single point on PBEsol structure",
  "cell": [[4.159, -1.290, 0.000], [4.159, 1.290, 0.000], [-0.808, 0.000, 4.316]],
  "species": ["Mn", "Fe", "Fe", "W"],
  "frac_coords": [[0.000, 0.000, 0.000], [0.260, 0.260, 0.802], [0.520, 0.520, 0.562], [0.761, 0.761, 0.300]],
  "m_tot_mub_per_atom": 0.25,
  "energy_ev_per_atom": -30.78,
  "volume_a3_per_atom": 11.6,
  "de_polymorph_ev_per_atom": 0.271
}

No. 20
{
  "formula": "SbTeAu2",
  "functional": "SCAN",
  "state": "single point on PBEsol structure",
  "cell": [[4.282, 0.000, 0.000], [0.000, 2.808, 3.829], [0.000, -2.808, 3.829]],
  "species": ["Sb", "Te", "Au", "Au"],
  "frac_coords": [[0.000, 0.000, 0.000], [0.500, 0.680, 0.680], [0.000, 0.449, 0.449], [0.500, 0.221, 0.221]],
  "e_form_raw_ev_per_fu": -0.43,
  "m_tot_mub_per_atom": 0.00,
  "energy_ev_per_atom": -53.31,
  "volume_a3_per_atom": 23.0,
  "de_polymorph_ev_per_atom": 0.042
}